Density functional theory data (meta-GGA SCAN) for K3VF6 at its PBEsol-relaxed geometry.

Structure (POSCAR):
```
K3VF6
1.0
0.000 4.380 4.380
4.380 0.000 4.380
4.380 4.380 0.000
K V F
3 1 6
Direct
0.000 0.000 0.000 K
0.250 0.250 0.250 K
0.750 0.750 0.750 K
0.500 0.500 0.500 V
0.280 0.280 0.720 F
0.280 0.720 0.280 F
0.280 0.720 0.720 F
0.720 0.280 0.280 F
0.720 0.280 0.720 F
0.720 0.720 0.280 F
```

Summary:
Crystal system = cubic
Uncorrected formation energy = -3.0923 eV/atom
Density of states at the Fermi level = 11.7 states/eV/cell